This record from Alexandria describes a relaxed structure of AsH. The functional is PBE-GGA.

a b c (Å): 8.9156 8.9156 3.0491
angles (deg): 90.00 90.00 120.00
Last column: nearest neighbours and their distance in Å.
Positions (direct):
As  0.0803  0.4405  0.2500  2 H 1.80
As  0.6397  0.0803  0.7500  2 H 1.80
As  0.5595  0.6397  0.2500  2 H 1.80
As  0.9197  0.5595  0.7500  2 H 1.80
As  0.3603  0.9197  0.2500  2 H 1.80
As  0.4405  0.3603  0.7500  2 H 1.80
H  0.6825  0.2013  0.2500  2 As 1.80
H  0.4812  0.6825  0.7500  2 As 1.80
H  0.7987  0.4812  0.2500  2 As 1.80
H  0.3175  0.7987  0.7500  2 As 1.80
H  0.5188  0.3175  0.2500  2 As 1.80
H  0.2013  0.5188  0.7500  2 As 1.80

* E above lowest polymorph: 50.61 kJ per mole of atoms
* DOS at the Fermi energy: 2.03 states/eV/cell